A geometry-optimized LiAl2Br8 structure, computed with PBE.

Properties
- DFT total energy (eV per atom) = -3.10
- space group = C2/m
- total magnetization (μB/f.u.) = 0.7

Cell lengths 6.485, 8.245, 8.245 Å; angles 73.78, 86.61, 86.61 degrees
Element x y z (fractional)
Al 0.667 0.813 0.813
Br 0.308 0.815 0.815
Al 0.333 0.187 0.187
Br 0.785 0.715 0.087
Br 0.802 0.646 0.646
Br 0.785 0.087 0.715
Br 0.215 0.913 0.285
Br 0.198 0.354 0.354
Br 0.215 0.285 0.913
Li 0.000 0.000 0.000
Br 0.692 0.185 0.185

---

A geometry-optimized LiAlBr4 structure, computed with PBE.

Properties
- DFT total energy (eV per atom) = -3.34
- space group = I-4
- total magnetization (μB/f.u.) = 0.0
- polymorph energy (0 for the lowest one) (meV/atom) = 0

Cell lengths 6.286, 6.286, 6.911 Å; angles 117.05, 117.05, 90.00 degrees
Element x y z (fractional)
Br 0.410 0.845 0.248
Br 0.155 0.163 0.752
Al 0.500 0.500 0.000
Br 0.837 0.403 0.248
Li 0.750 0.250 0.500
Br 0.597 0.590 0.752

---

A geometry-optimized LiAl2Br structure, computed with PBE.

Properties
- DFT total energy (eV per atom) = -2.61
- space group = F-43m
- total magnetization (μB/f.u.) = 0.0
- polymorph energy (0 for the lowest one) (meV/atom) = 450

Cell lengths 4.968, 4.968, 4.968 Å; angles 60.00, 60.00, 60.00 degrees
Element x y z (fractional)
Li 0.750 0.750 0.750
Al 0.250 0.250 0.250
Al 0.000 0.000 0.000
Br 0.500 0.500 0.500

---

A geometry-optimized LiAlBr2 structure, computed with PBE.

Properties
- DFT total energy (eV per atom) = -2.90
- space group = I-4m2
- total magnetization (μB/f.u.) = 0.0
- polymorph energy (0 for the lowest one) (meV/atom) = 168

Cell lengths 8.036, 8.036, 8.036 Å; angles 150.78, 150.78, 41.79 degrees
Element x y z (fractional)
Li 0.500 0.500 0.000
Br 0.250 0.750 0.500
Al 0.750 0.250 0.500
Br 0.000 0.000 0.000

---

A geometry-optimized LiAl2Br structure, computed with PBE.

Properties
- DFT total energy (eV per atom) = -3.04
- space group = Pm
- total magnetization (μB/f.u.) = 0.0
- polymorph energy (0 for the lowest one) (meV/atom) = 24

Cell lengths 4.032, 3.186, 7.495 Å; angles 78.35, 90.00, 90.00 degrees
Element x y z (fractional)
Al 0.500 0.501 0.139
Br 0.000 0.240 0.631
Al 0.000 0.061 0.014
Li 0.500 0.698 0.717

---

A geometry-optimized Li2AlBr structure, computed with PBE.

Properties
- DFT total energy (eV per atom) = -2.52
- space group = I4/mmm
- total magnetization (μB/f.u.) = 0.0
- polymorph energy (0 for the lowest one) (meV/atom) = 322

Cell lengths 5.449, 5.449, 5.449 Å; angles 133.46, 133.46, 67.93 degrees
Element x y z (fractional)
Br 0.750 0.250 0.500
Al 0.250 0.750 0.500
Li 0.500 0.500 0.000
Li 0.000 0.000 0.000

---

A geometry-optimized LiAlBr2 structure, computed with PBE.

Properties
- DFT total energy (eV per atom) = -2.95
- space group = Cmmm
- total magnetization (μB/f.u.) = 0.0
- polymorph energy (0 for the lowest one) (meV/atom) = 123

Cell lengths 4.087, 4.087, 8.063 Å; angles 90.00, 90.00, 121.82 degrees
Element x y z (fractional)
Br 0.000 0.000 0.029
Br 0.000 0.000 0.471
Li 0.500 0.500 0.250
Al 0.500 0.500 0.750

---

A geometry-optimized LiAlBr2 structure, computed with PBE.

Properties
- DFT total energy (eV per atom) = -2.98
- space group = P2/m
- total magnetization (μB/f.u.) = 0.0
- polymorph energy (0 for the lowest one) (meV/atom) = 95

Cell lengths 3.673, 4.000, 7.443 Å; angles 79.12, 90.00, 90.00 degrees
Element x y z (fractional)
Br 0.000 0.155 0.014
Li 0.500 0.250 0.250
Al 0.500 0.750 0.750
Br 0.000 0.345 0.486

---

Short version: energy relative to the elements, uncorrected = -1.0267; -1.2812; 0.1579; -0.6522; -0.2685; -0.2074; -0.6968; -0.7255 eV/atom, in the order given.